Entry 1
Computed, not measured: a relaxed GdTmOs crystal at the PBE-GGA level of DFT.

Cell lengths 3.384, 3.384, 13.132 Å; angles 90.00, 90.00, 90.00 degrees
Atoms (fractional coordinates):
Gd 0.000 0.000 0.000
Gd 0.500 0.500 0.500
Tm 0.000 0.000 0.252
Tm 0.500 0.500 0.752
Os 0.000 0.000 0.630
Os 0.500 0.500 0.130

Values from the calculation:
The value obtained for the density of states at the Fermi level is 2.79 states/eV/cell.

***

Entry 2
Computed, not measured: a relaxed GdTmOs crystal at the PBE-GGA level of DFT.

Cell lengths 6.742, 6.742, 6.742 Å; angles 90.00, 90.00, 90.00 degrees
Atoms (fractional coordinates):
Gd 0.000 0.000 0.000
Gd 0.000 0.500 0.500
Gd 0.500 0.000 0.500
Gd 0.500 0.500 0.000
Tm 0.000 0.000 0.500
Tm 0.000 0.500 0.000
Tm 0.500 0.000 0.000
Tm 0.500 0.500 0.500
Os 0.250 0.250 0.250
Os 0.250 0.750 0.750
Os 0.750 0.250 0.750
Os 0.750 0.750 0.250

Values from the calculation:
The value obtained for the density of states at the Fermi level is 5.65 states/eV/cell.

***

Most stable pick: entry 1. Distance to second place: 2.5 kJ/mol of atoms.

***

Entry 1
Computed, not measured: a relaxed Gd2TmOs crystal at the PBE-GGA level of DFT.

Cell lengths 3.402, 3.402, 9.333 Å; angles 90.00, 90.00, 90.00 degrees
Atoms (fractional coordinates):
Gd 0.000 0.000 0.182
Gd 0.000 0.000 0.818
Tm 0.500 0.500 0.500
Os 0.500 0.500 0.000

Values from the calculation:
The value obtained for the density of states at the Fermi level is 4.51 states/eV/cell.

***

Entry 2
Computed, not measured: a relaxed Gd2TmOs crystal at the PBE-GGA level of DFT.

Cell lengths 3.453, 3.453, 32.288 Å; angles 90.00, 90.00, 120.00 degrees
Atoms (fractional coordinates):
Gd 0.000 0.000 0.104
Gd 0.000 0.000 0.896
Gd 0.333 0.667 0.563
Gd 0.333 0.667 0.771
Gd 0.667 0.333 0.229
Gd 0.667 0.333 0.437
Tm 0.000 0.000 0.000
Tm 0.333 0.667 0.667
Tm 0.667 0.333 0.333
Os 0.000 0.000 0.500
Os 0.333 0.667 0.167
Os 0.667 0.333 0.833

Values from the calculation:
The value obtained for the density of states at the Fermi level is 15.32 states/eV/cell.

***

Most stable pick: entry 1. Distance to second place: 32.3 kJ/mol of atoms.